Record 1
Cs3PuTe4 after structural relaxation, computed with PBE-GGA.

a = 8.2719 Å, b = 8.2719 Å, c = 8.2719 Å
α = 106.82°, β = 110.81°, γ = 110.81°
Closest atoms and distances in Å follow each position.
Fractional coordinates of all 8 atoms:
Cs: 0.5000 0.7500 0.2500  8 Te 4.16
Cs: 0.0000 0.0000 0.0000  4 Te 3.73
Cs: 0.5000 0.2500 0.7500  8 Te 4.16
Pu: 0.0000 0.5000 0.5000  4 Te 2.92
Te: 0.5610 0.2805 0.2805  1 Pu 2.92
Te: 0.0000 0.2805 0.7195  1 Pu 2.92
Te: 0.0000 0.7195 0.2805  1 Pu 2.92
Te: 0.4390 0.7195 0.7195  1 Pu 2.92

As for the density of states at the Fermi level: 11.9 states/eV per cell. The calculation puts the energy relative to the elements, uncorrected at -0.732 eV per atom.

---

Record 2
CsPuTe2 after structural relaxation, computed with PBE-GGA.

a = 4.6098 Å, b = 4.6098 Å, c = 9.0518 Å
α = 90.00°, β = 90.00°, γ = 120.00°
Closest atoms and distances in Å follow each position.
Fractional coordinates of all 4 atoms:
Cs: 0.0000 0.5000 0.5000  6 Te 3.88
Pu: 0.0000 0.5000 0.0000  6 Te 3.16
Te: 0.6667 0.8334 0.8121  3 Pu 3.16
Te: 0.3333 0.1666 0.1879  3 Pu 3.16

As for the density of states at the Fermi level: 13.0 states/eV per cell. The calculation puts the energy relative to the elements, uncorrected at -1.087 eV per atom.

---

Record 3
CsPuTe2 after structural relaxation, computed with PBE-GGA.

a = 4.6155 Å, b = 4.6155 Å, c = 9.3495 Å
α = 75.71°, β = 75.71°, γ = 60.00°
Closest atoms and distances in Å follow each position.
Fractional coordinates of all 4 atoms:
Cs: 0.4986 0.4986 0.5041  6 Te 3.82-3.89
Pu: 0.6672 0.6672 0.9983  6 Te 3.15-3.16
Te: 0.0633 0.0633 0.8101  3 Pu 3.15
Te: 0.2708 0.2708 0.1875  3 Pu 3.16

As for the density of states at the Fermi level: 13.2 states/eV per cell. The calculation puts the energy relative to the elements, uncorrected at -1.101 eV per atom.

---

Record 4
CsPu6Te12 after structural relaxation, computed with PBE-GGA.

a = 9.1499 Å, b = 9.1499 Å, c = 9.1499 Å
α = 105.49°, β = 105.49°, γ = 105.49°
Closest atoms and distances in Å follow each position.
Fractional coordinates of all 19 atoms:
Cs: 0.0000 0.0000 0.0000  6 Te 4.33
Pu: 0.6682 0.2551 0.2551  7 Te 3.08-3.18
Pu: 0.2551 0.2551 0.6682  7 Te 3.08-3.18
Pu: 0.2551 0.6682 0.2551  7 Te 3.08-3.18
Pu: 0.7449 0.7449 0.3318  7 Te 3.08-3.18
Pu: 0.3318 0.7449 0.7449  7 Te 3.08-3.18
Pu: 0.7449 0.3318 0.7449  7 Te 3.08-3.18
Te: 0.8704 0.1296 0.5000  4 Pu 3.17-3.18
Te: 0.8274 0.5682 0.5682  3 Pu 3.08-3.11
Te: 0.5682 0.5682 0.8274  3 Pu 3.08-3.11
Te: 0.4318 0.1726 0.4318  3 Pu 3.08-3.11
Te: 0.4318 0.4318 0.1726  3 Pu 3.08-3.11
Te: 0.1726 0.4318 0.4318  3 Pu 3.08-3.11
Te: 0.1296 0.5000 0.8704  4 Pu 3.17-3.18
Te: 0.5000 0.8704 0.1296  4 Pu 3.17-3.18
Te: 0.1296 0.8704 0.5000  4 Pu 3.17-3.18
Te: 0.8704 0.5000 0.1296  4 Pu 3.17-3.18
Te: 0.5000 0.1296 0.8704  4 Pu 3.17-3.18
Te: 0.5682 0.8274 0.5682  3 Pu 3.08-3.11

As for the density of states at the Fermi level: 65.1 states/eV per cell. The calculation puts the energy relative to the elements, uncorrected at -0.790 eV per atom.

---

Record 5
CsPuTe2 after structural relaxation, computed with PBE-GGA.

a = 3.9599 Å, b = 3.9599 Å, c = 9.0287 Å
α = 90.00°, β = 90.00°, γ = 90.00°
Closest atoms and distances in Å follow each position.
Fractional coordinates of all 4 atoms:
Cs: 0.5000 0.5000 0.5000  8 Te 3.92, 4 Cs 3.96
Te: 0.0000 0.0000 0.8041  4 Pu 3.31, 1 Te 3.54
Te: 0.0000 0.0000 0.1959  4 Pu 3.31, 1 Te 3.54
Pu: 0.5000 0.5000 0.0000  8 Te 3.31

As for the density of states at the Fermi level: 9.0 states/eV per cell. The calculation puts the energy relative to the elements, uncorrected at -1.001 eV per atom.

---

Record 6
Cs3PuTe3 after structural relaxation, computed with PBE-GGA.

a = 9.6095 Å, b = 9.6095 Å, c = 9.4393 Å
α = 95.82°, β = 95.82°, γ = 113.42°
Closest atoms and distances in Å follow each position.
Fractional coordinates of all 14 atoms:
Cs: 0.6156 0.6156 0.3636  5 Te 3.71-4.12, 1 Cs 3.86
Cs: 0.1761 0.8239 0.5000  6 Te 3.82-4.22
Cs: 0.8239 0.1761 0.5000  6 Te 3.82-4.22
Cs: 0.2431 0.7569 0.0000  4 Te 3.97-4.08, 2 Pu 4.43
Cs: 0.7569 0.2431 0.0000  4 Te 3.97-4.08, 2 Pu 4.43
Cs: 0.3844 0.3844 0.6364  5 Te 3.71-4.12, 1 Cs 3.86
Pu: 0.8212 0.8212 0.8599  4 Te 2.96-3.06
Pu: 0.1788 0.1788 0.1401  4 Te 2.96-3.06
Te: 0.9028 0.9028 0.1886  2 Pu 3.03-3.06
Te: 0.8407 0.5397 0.7222  1 Pu 2.96
Te: 0.5397 0.8407 0.7222  1 Pu 2.96
Te: 0.1593 0.4603 0.2778  1 Pu 2.96
Te: 0.4603 0.1593 0.2778  1 Pu 2.96
Te: 0.0972 0.0972 0.8114  2 Pu 3.03-3.06

As for the density of states at the Fermi level: 24.6 states/eV per cell. The calculation puts the energy relative to the elements, uncorrected at -1.008 eV per atom.